Below is crystalline SrCrHgO2 at its relaxed geometry, with properties calculated at the PBE with a Hubbard U level.

Geometry as extended XYZ:
```
5
Lattice="4.5635 0.0000 0.0000 0.0000 4.5635 0.0000 0.0000 0.0000 6.8845" Properties=species:S:1:pos:R:3 pbc="T T T"
Sr 0.0000 0.0000 0.0000
Cr 0.0000 0.0000 3.4423
Hg 2.2818 2.2818 3.4423
O 0.0000 2.2818 0.0000
O 2.2818 0.0000 0.0000
```

Results
**Mass density**: 4.31 Mg/m³
**SG**: P4/mmm
**E**: -3.9917 eV/atom